# K2MnAgF6, optimized geometry, DFT PBE+U
data_K2MnAgF6
_chemical_formula_sum 'K8 Mn4 Ag4 F24'
_space_group_name_H-M_alt 'F m -3 m'
_space_group_IT_number 225
_space_group_name_Hall '-F 4 2 3'
_cell_length_a 8.655
_cell_length_b 8.655
_cell_length_c 8.655
_cell_angle_alpha 90.00
_cell_angle_beta 90.00
_cell_angle_gamma 90.00
loop_
_atom_site_label
_atom_site_fract_x
_atom_site_fract_y
_atom_site_fract_z
K1 0.250 0.250 0.250
Mn1 0.000 0.000 0.000
Ag1 0.000 0.000 0.500
F1 0.000 0.000 0.232
# Energy, eV per cell: -189.1